LaNiAsSe2 | PBE-GGA | relaxed

Values from the calculation:
VASP energy = -5.2294 eV per atom
D(E_F) = 2.73 states/eV/f.u.
Calculated volume = 21.81 A^3/atom
Space-group type = P4/mmm, No. 123
Total magnetic moment = 0.00 μB per cell
Formation energy without anion corrections = -0.764 eV/atom

```
LaNiAsSe2
1.0
4.9190 0.0000 0.0000
0.0000 4.9190 0.0000
0.0000 0.0000 4.5065
La Ni As Se
1 1 1 2
Cartesian
0.0000 0.0000 0.0000
2.4595 2.4595 2.2533
2.4595 2.4595 0.0000
0.0000 2.4595 2.2533
2.4595 0.0000 2.2533
```

LaSiNiAs2 | PBE-GGA | relaxed

Values from the calculation:
VASP energy = -3.9240 eV per atom
D(E_F) = 6.77 states/eV/f.u.
Calculated volume = 29.63 A^3/atom
Space-group type = P4/mmm, No. 123
Total magnetic moment = 0.00 μB per cell
Formation energy without anion corrections = 1.162 eV/atom

```
LaSiNiAs2
1.0
5.5786 0.0000 0.0000
0.0000 5.5786 0.0000
0.0000 0.0000 4.7599
La Si Ni As
1 1 1 2
Cartesian
0.0000 0.0000 0.0000
2.7893 2.7893 2.3799
0.0000 0.0000 2.3799
0.0000 2.7893 0.0000
2.7893 0.0000 0.0000
```

La2Ni4SnAs3 | PBE-GGA | relaxed

Values from the calculation:
VASP energy = -5.8752 eV per atom
D(E_F) = 6.03 states/eV/f.u.
Calculated volume = 18.06 A^3/atom
Space-group type = P-4m2, No. 115
Total magnetic moment = 0.00 μB per cell

```
La2Ni4SnAs3
1.0
4.2445 0.0000 0.0000
0.0000 4.2445 0.0000
0.0000 0.0000 10.0239
La Ni Sn As
2 4 1 3
Cartesian
0.0000 2.1222 2.3415
2.1222 0.0000 7.6824
0.0000 0.0000 0.0000
0.0000 2.1222 6.3935
2.1222 0.0000 3.6304
2.1222 2.1222 0.0000
0.0000 0.0000 5.0120
0.0000 2.1222 8.7772
2.1222 0.0000 1.2467
2.1222 2.1222 5.0120
```

LaTa2NiAs | PBE-GGA | relaxed

Values from the calculation:
VASP energy = -7.2892 eV per atom
D(E_F) = 5.77 states/eV/f.u.
Calculated volume = 20.85 A^3/atom
Space-group type = P4/mmm, No. 123
Total magnetic moment = 0.00 μB per cell

```
LaTa2NiAs
1.0
4.8491 0.0000 0.0000
0.0000 4.8491 0.0000
0.0000 0.0000 4.4342
La Ta Ni As
1 2 1 1
Cartesian
0.0000 0.0000 0.0000
0.0000 2.4245 2.2171
2.4245 0.0000 2.2171
2.4245 2.4245 2.2171
2.4245 2.4245 0.0000
```

LaTbNi2As2 | PBE-GGA | relaxed

Values from the calculation:
VASP energy = -6.1422 eV per atom
D(E_F) = 2.50 states/eV/f.u.
Calculated volume = 19.59 A^3/atom
Space-group type = P-3m1, No. 164
Total magnetic moment = 0.00 μB per cell

```
LaTbNi2As2
1.0
4.1250 0.0000 0.0000
-2.0625 3.5724 0.0000
0.0000 0.0000 7.9766
La Tb Ni As
1 1 2 2
Cartesian
0.0000 0.0000 0.0000
0.0000 0.0000 3.9883
0.0000 2.3816 5.8967
2.0625 1.1908 2.0799
0.0000 2.3816 2.1014
2.0625 1.1908 5.8752
```

La2TmNi3As4 | PBE-GGA | relaxed

Values from the calculation:
VASP energy = -5.9409 eV per atom
D(E_F) = 3.90 states/eV/f.u.
Calculated volume = 19.50 A^3/atom
Space-group type = P-4m2, No. 115
Total magnetic moment = 0.00 μB per cell

```
La2TmNi3As4
1.0
4.3267 0.0000 0.0000
0.0000 4.3267 0.0000
0.0000 0.0000 10.4181
La Tm Ni As
2 1 3 4
Cartesian
0.0000 2.1634 2.2874
2.1634 0.0000 8.1307
0.0000 0.0000 5.2091
0.0000 2.1634 9.3464
2.1634 0.0000 1.0717
2.1634 2.1634 5.2091
0.0000 0.0000 0.0000
0.0000 2.1634 6.9043
2.1634 0.0000 3.5138
2.1634 2.1634 0.0000
```

La2ZnNi4As3 | PBE-GGA | relaxed

Values from the calculation:
VASP energy = -5.6132 eV per atom
D(E_F) = 7.50 states/eV/f.u.
Calculated volume = 17.14 A^3/atom
Space-group type = P-4m2, No. 115
Total magnetic moment = 0.00 μB per cell

```
La2ZnNi4As3
1.0
4.2029 0.0000 0.0000
0.0000 4.2029 0.0000
0.0000 0.0000 9.7018
La Zn Ni As
2 1 4 3
Cartesian
0.0000 2.1014 2.3593
2.1014 0.0000 7.3425
0.0000 0.0000 4.8509
0.0000 0.0000 0.0000
0.0000 2.1014 6.0555
2.1014 0.0000 3.6463
2.1014 2.1014 0.0000
0.0000 2.1014 8.4465
2.1014 0.0000 1.2553
2.1014 2.1014 4.8509
```

LaZrNi2As2 | PBE-GGA | relaxed

Values from the calculation:
VASP energy = -6.6833 eV per atom
D(E_F) = 4.70 states/eV/f.u.
Calculated volume = 18.44 A^3/atom
Space-group type = P-3m1, No. 164
Total magnetic moment = 0.00 μB per cell

```
LaZrNi2As2
1.0
4.0479 0.0000 0.0000
-2.0239 3.5056 0.0000
0.0000 0.0000 7.7979
La Zr Ni As
1 1 2 2
Cartesian
0.0000 0.0000 0.0000
0.0000 0.0000 3.8989
0.0000 2.3371 5.5084
2.0239 1.1685 2.2894
0.0000 2.3371 2.0840
2.0239 1.1685 5.7139
```

La4Zr8Ni15As16 | PBE-GGA | relaxed

Values from the calculation:
VASP energy = -6.7165 eV per atom
D(E_F) = 22.28 states/eV/f.u.
Calculated volume = 17.05 A^3/atom
Space-group type = Pm, No. 6
Total magnetic moment = 0.00 μB per cell

```
La4Zr8Ni15As16
1.0
9.4381 0.0000 0.0000
0.0000 3.9726 0.0000
-2.6967 0.0000 19.5508
La Zr Ni As
4 8 15 16
Cartesian
0.0000 0.0000 0.0000
-1.2772 0.0000 9.8521
0.4066 1.9863 14.6471
1.9264 1.9863 5.0052
4.3926 1.9863 2.0579
3.1051 1.9863 11.8328
2.2599 1.9863 18.1479
3.7108 1.9863 8.4442
4.9693 0.0000 16.1410
6.3924 0.0000 6.3683
6.9575 0.0000 2.9401
5.7535 0.0000 12.7762
-2.1482 1.9863 17.0101
-0.6970 1.9863 7.2085
0.2009 0.0000 3.4354
1.7103 1.9863 1.5762
0.4123 1.9863 11.3743
-0.0519 0.0000 17.3686
1.3563 0.0000 7.5818
3.2128 0.0000 0.3227
1.9507 0.0000 10.0812
4.3677 0.0000 4.2688
3.0468 0.0000 14.0200
6.9768 1.9863 0.7383
5.7115 1.9863 10.5265
6.7393 1.9863 14.5216
8.1438 1.9863 4.6961
-1.7654 0.0000 15.5906
-0.3395 0.0000 5.8174
-0.4342 1.9863 18.7489
0.9911 1.9863 8.9890
2.5099 0.0000 2.6936
1.2055 0.0000 12.4519
2.1188 0.0000 16.2638
3.5799 0.0000 6.5793
5.6373 0.0000 0.5226
4.3904 0.0000 10.3571
4.3507 1.9863 14.2331
5.7113 1.9863 4.4735
5.0683 1.9863 17.9985
6.5343 1.9863 8.2391
8.8402 1.9863 2.3158
7.5465 1.9863 12.1597
```

La5NpAs6 | PBE-GGA | relaxed

Values from the calculation:
VASP energy = -6.8638 eV per atom
D(E_F) = 11.12 states/eV/f.u.
Calculated volume = 28.75 A^3/atom
Space-group type = C2/m, No. 12
Total magnetic moment = 3.69 μB per cell

```
La5NpAs6
1.0
3.7522 -6.4985 0.0000
3.7522 6.4985 0.0000
-2.5036 0.0000 7.0740
La Np As
5 1 6
Cartesian
0.0000 0.0000 0.0000
2.5004 4.3405 3.5370
3.7522 2.1897 0.0000
3.7522 -2.1897 0.0000
2.5004 -4.3405 3.5370
2.5004 0.0000 3.5370
1.2918 2.0957 1.8153
0.0827 0.0000 5.2619
1.2918 -2.0957 1.8153
3.7091 2.0957 5.2586
4.9182 0.0000 1.8121
3.7091 -2.0957 5.2586
```

LaNp2As3 | PBE-GGA | relaxed

Values from the calculation:
VASP energy = -8.4101 eV per atom
D(E_F) = 20.02 states/eV/f.u.
Calculated volume = 26.14 A^3/atom
Space-group type = Immm, No. 71
Total magnetic moment = 7.79 μB per cell

```
LaNp2As3
1.0
-2.0944 2.9714 6.2995
2.0944 -2.9714 6.2995
2.0944 2.9714 -6.2995
La Np As
1 2 3
Cartesian
0.0000 0.0000 0.0000
0.0000 0.0000 4.2297
0.0000 0.0000 8.3694
2.0944 0.0000 2.2296
0.0000 2.9714 0.0000
0.0000 2.9714 4.0700
```

LaNp4As5 | PBE-GGA | relaxed

Values from the calculation:
VASP energy = -8.8008 eV per atom
D(E_F) = 42.12 states/eV/f.u.
Calculated volume = 25.38 A^3/atom
Space-group type = C2/m, No. 12
Total magnetic moment = 0.06 μB per cell

```
LaNp4As5
1.0
6.9240 -2.0643 0.0000
6.9240 2.0643 0.0000
-5.0951 0.0000 8.8781
La Np As
1 4 5
Cartesian
0.0000 0.0000 0.0000
-1.2624 0.0000 7.0734
2.5211 0.0000 5.3314
6.2318 0.0000 3.5467
10.0153 0.0000 1.8048
-2.5476 0.0000 4.4391
1.2403 0.0000 2.7484
4.9047 0.0000 0.9325
3.8481 0.0000 7.9456
7.5125 0.0000 6.1297
```

La4NpAs5 | PBE-GGA | relaxed

Values from the calculation:
VASP energy = -6.9606 eV per atom
D(E_F) = 12.16 states/eV/f.u.
Calculated volume = 28.58 A^3/atom
Space-group type = I4/m, No. 87
Total magnetic moment = 3.77 μB per cell

```
La4NpAs5
1.0
-4.8332 4.8332 3.0583
4.8332 -4.8332 3.0583
4.8332 4.8332 -3.0583
La Np As
4 1 5
Cartesian
2.8995 0.9449 0.0000
3.8884 -1.9338 3.0583
0.9449 6.7670 0.0000
1.9338 3.8884 3.0583
0.0000 0.0000 3.0583
0.0000 0.0000 0.0000
5.7611 2.0354 0.0000
2.0354 3.9053 0.0000
2.7978 0.9279 3.0583
-0.9279 2.7978 3.0583
```

LaNpAs | PBE-GGA | relaxed

Values from the calculation:
VASP energy = -7.9921 eV per atom
D(E_F) = 4.86 states/eV/f.u.
Calculated volume = 26.92 A^3/atom
Space-group type = P4_2/m, No. 84
Total magnetic moment = 8.72 μB per cell

```
LaNpAs
1.0
9.2111 0.0000 0.0000
0.0000 9.2111 0.0000
0.0000 0.0000 3.8071
La Np As
4 4 4
Cartesian
0.8466 6.3823 0.0000
2.8288 0.8466 1.9035
6.3823 8.3644 1.9035
8.3644 2.8288 0.0000
3.5345 3.6471 0.0000
3.6471 5.6765 1.9035
5.5640 3.5345 1.9035
5.6765 5.5640 0.0000
1.3765 3.7498 1.9035
3.7498 7.8346 0.0000
5.4613 1.3765 0.0000
7.8346 5.4613 1.9035
```

LaNpAs2 | PBE-GGA | relaxed

Values from the calculation:
VASP energy = -7.7697 eV per atom
D(E_F) = 9.16 states/eV/f.u.
Calculated volume = 27.29 A^3/atom
Energy above the most stable polymorph in this dataset = 2.86 kcal/mol of atoms
Space-group type = R3m, No. 160
Total magnetic moment = 3.95 μB per cell

```
LaNpAs2
1.0
2.0848 1.2037 7.2512
-2.0848 1.2037 7.2512
0.0000 -2.4073 7.2512
La Np As
1 1 2
Cartesian
0.0000 0.0000 0.0000
0.0000 0.0000 3.7240
0.0000 0.0000 12.6028
0.0000 0.0000 16.5205
```

LaNpAs2 | PBE-GGA | relaxed

Values from the calculation:
VASP energy = -7.8939 eV per atom
D(E_F) = 11.65 states/eV/f.u.
Calculated volume = 26.93 A^3/atom
Energy above the most stable polymorph in this dataset = 0.00 kcal/mol of atoms
Space-group type = R-3m, No. 166
Total magnetic moment = 3.84 μB per cell

```
LaNpAs2
1.0
2.1130 1.2199 6.9645
-2.1130 1.2199 6.9645
0.0000 -2.4399 6.9645
La Np As
1 1 2
Cartesian
0.0000 0.0000 0.0000
0.0000 0.0000 10.4467
0.0000 0.0000 5.0956
0.0000 0.0000 15.7978
```

La3NpAs4 | PBE-GGA | relaxed

Values from the calculation:
VASP energy = -7.1162 eV per atom
D(E_F) = 13.22 states/eV/f.u.
Calculated volume = 28.29 A^3/atom
Space-group type = P2/c, No. 13
Total magnetic moment = 7.55 μB per cell

```
La3NpAs4
1.0
7.4690 0.0000 0.0000
0.0000 8.6237 0.0000
-2.4925 0.0000 7.0276
La Np As
6 2 8
Cartesian
-0.6231 1.0819 1.7569
-1.8694 3.2364 5.2707
-0.6231 5.3873 1.7569
-1.8694 7.5418 5.2707
1.8651 1.0822 5.2707
3.1114 7.5415 1.7569
3.1114 3.2439 1.7569
1.8651 5.3798 5.2707
1.8890 1.1437 0.0577
0.6427 7.4800 3.5715
0.7294 3.2955 3.5025
-0.5168 5.3282 7.0163
5.4933 3.2955 0.0113
4.2471 5.3282 3.5251
4.3338 1.1437 3.4561
3.0875 7.4800 6.9699
```

La2NpAs3 | PBE-GGA | relaxed

Values from the calculation:
VASP energy = -7.3583 eV per atom
D(E_F) = 10.63 states/eV/f.u.
Calculated volume = 27.94 A^3/atom
Space-group type = I4/mmm, No. 139
Total magnetic moment = 3.87 μB per cell

```
La2NpAs3
1.0
-2.1471 2.1471 9.0916
2.1471 -2.1471 9.0916
2.1471 2.1471 -9.0916
La Np As
2 1 3
Cartesian
0.0000 0.0000 3.0282
0.0000 0.0000 15.1551
0.0000 0.0000 9.0916
0.0000 0.0000 0.0000
0.0000 0.0000 6.1529
0.0000 0.0000 12.0304
```

LaNpAsO2 | PBE-GGA | relaxed

Values from the calculation:
VASP energy = -8.9075 eV per atom
D(E_F) = 9.28 states/eV/f.u.
Calculated volume = 18.79 A^3/atom
Space-group type = I4mm, No. 107
Total magnetic moment = 2.99 μB per cell
Formation energy without anion corrections = -2.421 eV/atom

```
LaNpAsO2
1.0
-1.9408 1.9408 6.2343
1.9408 -1.9408 6.2343
1.9408 1.9408 -6.2343
La Np As O
1 1 1 2
Cartesian
0.0000 0.0000 0.0000
0.0000 0.0000 3.6500
0.0000 0.0000 8.0899
1.9408 0.0000 4.7773
0.0000 1.9408 4.7773
```

LaNp2PaAs4 | PBE-GGA | relaxed

Values from the calculation:
VASP energy = -8.3137 eV per atom
D(E_F) = 28.07 states/eV/f.u.
Calculated volume = 25.57 A^3/atom
Space-group type = I-4m2, No. 119
Total magnetic moment = 0.33 μB per cell

```
LaNp2PaAs4
1.0
-2.9442 2.9442 5.8997
2.9442 -2.9442 5.8997
2.9442 2.9442 -5.8997
La Np Pa As
1 2 1 4
Cartesian
0.0000 0.0000 0.0000
0.0000 0.0000 5.8997
0.0000 2.9442 2.9499
2.9442 0.0000 2.9499
2.9442 0.0000 0.0326
0.0000 0.0000 3.0209
2.9442 0.0000 5.8671
0.0000 0.0000 8.7785
```

La2NpAs4Pd3 | PBE-GGA | relaxed

Values from the calculation:
VASP energy = -6.5067 eV per atom
D(E_F) = 12.53 states/eV/f.u.
Calculated volume = 22.02 A^3/atom
Space-group type = P-4m2, No. 115
Total magnetic moment = 4.26 μB per cell

```
La2NpAs4Pd3
1.0
4.5046 0.0000 0.0000
0.0000 4.5046 0.0000
0.0000 0.0000 10.8536
La Np As Pd
2 1 4 3
Cartesian
0.0000 2.2523 2.3857
2.2523 0.0000 8.4679
0.0000 0.0000 5.4268
0.0000 0.0000 0.0000
0.0000 2.2523 7.1475
2.2523 0.0000 3.7061
2.2523 2.2523 0.0000
0.0000 2.2523 9.6620
2.2523 0.0000 1.1915
2.2523 2.2523 5.4268
```

La2NpAs3Pd4 | PBE-GGA | relaxed

Values from the calculation:
VASP energy = -6.5656 eV per atom
D(E_F) = 9.74 states/eV/f.u.
Calculated volume = 21.34 A^3/atom
Space-group type = P-4m2, No. 115
Total magnetic moment = 4.15 μB per cell

```
La2NpAs3Pd4
1.0
4.3024 0.0000 0.0000
0.0000 4.3024 0.0000
0.0000 0.0000 11.5303
La Np As Pd
2 1 3 4
Cartesian
0.0000 2.1512 2.4728
2.1512 0.0000 9.0574
0.0000 0.0000 5.7651
0.0000 2.1512 10.0685
2.1512 0.0000 1.4618
2.1512 2.1512 5.7651
0.0000 0.0000 0.0000
0.0000 2.1512 7.5883
2.1512 0.0000 3.9420
2.1512 2.1512 0.0000
```

LaPm2NpAs4 | PBE-GGA | relaxed

Values from the calculation:
VASP energy = -7.0527 eV per atom
D(E_F) = 11.91 states/eV/f.u.
Calculated volume = 26.94 A^3/atom
Space-group type = P2/m, No. 10
Total magnetic moment = 3.79 μB per cell

```
LaPm2NpAs4
1.0
7.3428 0.0000 0.0000
0.0000 4.2330 0.0000
-2.4322 0.0000 6.9344
La Pm Np As
1 2 1 4
Cartesian
0.0000 0.0000 0.0000
2.4553 0.0000 3.4672
3.6714 2.1165 0.0000
-1.2161 2.1165 3.4672
-0.0014 0.0000 5.1348
1.2022 2.1165 1.7962
3.7085 2.1165 5.1382
4.9120 0.0000 1.7996
```